No. 1
The following is a PBE-GGA calculation of a relaxed PmTm3Pd2 crystal, from Alexandria.

Calculated values
- calculated total energy (eV per atom) = -5.285
- total magnetization (Bohr magnetons per cell) = 0.00
- E_form (eV per atom) = -0.53
- space-group type = C2/m
- distance to the lowest polymorph of the same formula (eV per formula unit) = 0.48

a = 8.1107 Å, b = 8.1107 Å, c = 8.2485 Å
α = 110.32°, β = 110.32°, γ = 36.83°
Last column: nearest neighbours and their distance in Å.
Sites, in units of the cell vectors:
Pm1 0.1421 0.1421 0.2234  5 Pd 3.09-3.27, 4 Tm 3.32-3.44
Pm2 0.8579 0.8579 0.7766  5 Pd 3.09-3.27, 4 Tm 3.32-3.44
Tm1 0.0662 0.0662 0.7414  3 Pd 2.85-2.96
Tm2 0.3128 0.3128 0.0043  2 Pd 2.74-2.92
Tm3 0.3755 0.3755 0.4839  4 Pd 2.77-3.04
Tm4 0.6245 0.6245 0.5161  4 Pd 2.77-3.04
Tm5 0.6872 0.6872 0.9957  2 Pd 2.74-2.92
Tm6 0.9338 0.9338 0.2586  3 Pd 2.85-2.96
Pd1 0.2192 0.2192 0.6255  5 Tm 2.85-3.04, 1 Pm 3.09
Pd2 0.4972 0.4972 0.8288  4 Tm 2.74-2.96, 1 Pd 2.79
Pd3 0.5028 0.5028 0.1712  4 Tm 2.74-2.96, 1 Pd 2.79
Pd4 0.7808 0.7808 0.3745  5 Tm 2.85-3.04, 1 Pm 3.09

=====

No. 2
The following is a PBE-GGA calculation of a relaxed Pm2TmPd crystal, from Alexandria.

Calculated values
- calculated total energy (eV per atom) = -5.027
- total magnetization (Bohr magnetons per cell) = 0.27
- E_form (eV per atom) = -0.24
- space-group type = R3m
- distance to the lowest polymorph of the same formula (eV per formula unit) = 0.49

a = 3.7640 Å, b = 3.7640 Å, c = 29.0029 Å
α = 90.00°, β = 90.00°, γ = 120.00°
Last column: nearest neighbours and their distance in Å.
Sites, in units of the cell vectors:
Pm1 0.0000 0.0000 0.0000  3 Pd 2.94
Pm2 0.0000 0.0000 0.1978  3 Pd 2.92
Pm3 0.3333 0.6667 0.6667  3 Pd 2.94
Pm4 0.3333 0.6667 0.8645  3 Pd 2.92
Pm5 0.6667 0.3333 0.3333  3 Pd 2.94
Pm6 0.6667 0.3333 0.5311  3 Pd 2.92
Tm1 0.0000 0.0000 0.7657  6 Pm 3.59-3.60, 6 Tm 3.76
Tm2 0.3333 0.6667 0.4324  6 Pm 3.59-3.60, 6 Tm 3.76
Tm3 0.6667 0.3333 0.0991  6 Pm 3.59-3.60, 6 Tm 3.76
Pd1 0.0000 0.0000 0.5986  6 Pm 2.92-2.94
Pd2 0.3333 0.6667 0.2652  6 Pm 2.92-2.94
Pd3 0.6667 0.3333 0.9319  6 Pm 2.92-2.94

=====

- What is the formula in the second record?
  Pm2TmPd

=====

- Look up the total magnetization of the first one.
  0.00 Bohr magnetons per cell